# Sc7V9O24

A geometry-optimized Sc7V9O24 structure (PBEsol, Alexandria via LeMat-Bulk).

```
data_Sc7V9O24
_chemical_formula_sum 'Sc7 V9 O24'
_symmetry_space_group_name_H-M 'P 1'
_symmetry_Int_Tables_number 1
_symmetry_space_group_name_Hall 'P 1'
_cell_length_a 8.2160
_cell_length_b 8.2171
_cell_length_c 8.2609
_cell_angle_alpha 109.29
_cell_angle_beta 109.73
_cell_angle_gamma 109.26
loop_
_atom_site_label
_atom_site_type_symbol
_atom_site_fract_x
_atom_site_fract_y
_atom_site_fract_z
_atom_site_occupancy
O1 O 0.9815 0.5390 0.7636 1
O2 O 0.0398 0.2675 0.5375 1
O3 O 0.2584 0.9888 0.0384 1
O4 O 0.2362 0.2744 0.2629 1
O5 O 0.2175 0.4427 0.9938 1
O6 O 0.4540 0.4901 0.7198 1
O7 O 0.5378 0.2620 0.4821 1
O8 O 0.7788 0.5455 0.0239 1
O9 O 0.7295 0.0113 0.9615 1
O10 O 0.7768 0.7217 0.7276 1
O11 O 0.0559 0.0454 0.7716 1
O12 O 0.7195 0.2368 0.2751 1
O13 O 0.4903 0.2264 0.9621 1
O14 O 0.0047 0.4621 0.2303 1
O15 O 0.5107 0.7763 0.0471 1
O16 O 0.9757 0.9542 0.2333 1
O17 O 0.9382 0.7219 0.4605 1
O18 O 0.2278 0.7752 0.2181 1
O19 O 0.5453 0.4969 0.2706 1
O20 O 0.2722 0.7728 0.7343 1
O21 O 0.4644 0.7334 0.5109 1
O22 O 0.7332 0.9748 0.4529 1
O23 O 0.2685 0.0392 0.5424 1
O24 O 0.7748 0.2378 0.7738 1
Sc1 Sc 0.2464 0.5351 0.7884 1
Sc2 Sc 0.7176 0.7506 0.9632 1
Sc3 Sc 0.5379 0.2865 0.7517 1
Sc4 Sc 0.9633 0.2127 0.2503 1
Sc5 Sc 0.4629 0.7118 0.2504 1
Sc6 Sc 0.7587 0.9677 0.7144 1
Sc7 Sc 0.2078 0.7500 0.4611 1
V1 V 0.5042 0.4969 0.4976 1
V2 V 0.4951 0.0039 0.0055 1
V3 V 0.7846 0.2543 0.5343 1
V4 V 0.0012 0.5039 0.9993 1
V5 V 0.0363 0.7852 0.7465 1
V6 V 0.2563 0.0401 0.2876 1
V7 V 0.7496 0.4619 0.2183 1
V8 V 0.9974 0.9968 0.4978 1
V9 V 0.2895 0.2465 0.0395 1
```

Summary:
Final energy, eV per atom: -9.27
Space-group type: P1

# YScO2

A geometry-optimized YScO2 structure (PBEsol, Alexandria via LeMat-Bulk).

```
data_YScO2
_chemical_formula_sum 'Y1 Sc1 O2'
_symmetry_space_group_name_H-M 'P 1'
_symmetry_Int_Tables_number 1
_symmetry_space_group_name_Hall 'P 1'
_cell_length_a 3.5321
_cell_length_b 3.5321
_cell_length_c 6.3875
_cell_angle_alpha 73.95
_cell_angle_beta 73.95
_cell_angle_gamma 60.00
loop_
_atom_site_label
_atom_site_type_symbol
_atom_site_fract_x
_atom_site_fract_y
_atom_site_fract_z
_atom_site_occupancy
O1 O 0.1102 0.1102 0.6693 1
O2 O 0.8898 0.8898 0.3307 1
Y1 Y 0.5000 0.5000 0.5000 1
Sc1 Sc 0.0000 0.0000 0.0000 1
```

Summary:
Final energy, eV per atom: -8.96
Space-group type: R-3m

# Sc3ZnO

A geometry-optimized Sc3ZnO structure (PBEsol, Alexandria via LeMat-Bulk).

```
data_Sc3ZnO
_chemical_formula_sum 'Sc3 Zn1 O1'
_symmetry_space_group_name_H-M 'P 1'
_symmetry_Int_Tables_number 1
_symmetry_space_group_name_Hall 'P 1'
_cell_length_a 4.3166
_cell_length_b 4.3166
_cell_length_c 4.3166
_cell_angle_alpha 90.00
_cell_angle_beta 90.00
_cell_angle_gamma 90.00
loop_
_atom_site_label
_atom_site_type_symbol
_atom_site_fract_x
_atom_site_fract_y
_atom_site_fract_z
_atom_site_occupancy
Sc1 Sc 0.0000 0.0000 0.5000 1
Sc2 Sc 0.5000 0.0000 0.0000 1
Sc3 Sc 0.0000 0.5000 0.0000 1
Zn1 Zn 0.5000 0.5000 0.5000 1
O1 O 0.0000 0.0000 0.0000 1
```

Summary:
Final energy, eV per atom: -6.79
Space-group type: Pm-3m

# ZrSc3O

A geometry-optimized ZrSc3O structure (PBEsol, Alexandria via LeMat-Bulk).

```
data_ZrSc3O
_chemical_formula_sum 'Zr1 Sc3 O1'
_symmetry_space_group_name_H-M 'P 1'
_symmetry_Int_Tables_number 1
_symmetry_space_group_name_Hall 'P 1'
_cell_length_a 4.4677
_cell_length_b 4.4677
_cell_length_c 4.4677
_cell_angle_alpha 90.00
_cell_angle_beta 90.00
_cell_angle_gamma 90.00
loop_
_atom_site_label
_atom_site_type_symbol
_atom_site_fract_x
_atom_site_fract_y
_atom_site_fract_z
_atom_site_occupancy
O1 O 0.0000 0.0000 0.0000 1
Sc1 Sc 0.5000 0.0000 0.0000 1
Sc2 Sc 0.0000 0.5000 0.0000 1
Sc3 Sc 0.0000 0.0000 0.5000 1
Zr1 Zr 0.5000 0.5000 0.5000 1
```

Summary:
Final energy, eV per atom: -7.98
Space-group type: Pm-3m

# Zr3Sc4O12

A geometry-optimized Zr3Sc4O12 structure (PBEsol, Alexandria via LeMat-Bulk).

```
data_Zr3Sc4O12
_chemical_formula_sum 'Zr6 Sc8 O24'
_symmetry_space_group_name_H-M 'P 1'
_symmetry_Int_Tables_number 1
_symmetry_space_group_name_Hall 'P 1'
_cell_length_a 6.1217
_cell_length_b 6.1496
_cell_length_c 12.2816
_cell_angle_alpha 99.58
_cell_angle_beta 99.45
_cell_angle_gamma 99.52
loop_
_atom_site_label
_atom_site_type_symbol
_atom_site_fract_x
_atom_site_fract_y
_atom_site_fract_z
_atom_site_occupancy
Zr1 Zr 0.9958 0.9941 0.4966 1
Zr2 Zr 0.3099 0.1375 0.3074 1
Zr3 Zr 0.6130 0.3142 0.0692 1
Zr4 Zr 0.6873 0.8660 0.6940 1
Zr5 Zr 0.9982 0.9952 0.9989 1
Zr6 Zr 0.1391 0.6090 0.6567 1
O1 O 0.3186 0.1039 0.9700 1
O2 O 0.1805 0.4208 0.2878 1
O3 O 0.9415 0.3243 0.0456 1
O4 O 0.0622 0.6794 0.9525 1
O5 O 0.9011 0.0584 0.8392 1
O6 O 0.5828 0.4241 0.9108 1
O7 O 0.4223 0.8217 0.7870 1
O8 O 0.4254 0.5756 0.0895 1
O9 O 0.9447 0.3149 0.5523 1
O10 O 0.0975 0.9419 0.1599 1
O11 O 0.8207 0.5782 0.2104 1
O12 O 0.5707 0.1799 0.2113 1
O13 O 0.4228 0.8233 0.2919 1
O14 O 0.5771 0.1782 0.7087 1
O15 O 0.1806 0.4223 0.7851 1
O16 O 0.4248 0.5791 0.5911 1
O17 O 0.9210 0.0616 0.3370 1
O18 O 0.6723 0.9247 0.0317 1
O19 O 0.0615 0.6707 0.4618 1
O20 O 0.5784 0.4145 0.4103 1
O21 O 0.3200 0.0945 0.4722 1
O22 O 0.8205 0.5820 0.7121 1
O23 O 0.0768 0.9358 0.6628 1
O24 O 0.6736 0.9045 0.5282 1
Sc1 Sc 0.8601 0.3936 0.3396 1
Sc2 Sc 0.3899 0.6728 0.4275 1
Sc3 Sc 0.6793 0.8577 0.1951 1
Sc4 Sc 0.8635 0.3925 0.8427 1
Sc5 Sc 0.1429 0.6100 0.1578 1
Sc6 Sc 0.6103 0.3159 0.5703 1
Sc7 Sc 0.3203 0.1464 0.8044 1
Sc8 Sc 0.3929 0.6810 0.9305 1
```

Summary:
Final energy, eV per atom: -9.67
Space-group type: P1

# Zr9ScO20

A geometry-optimized Zr9ScO20 structure (PBEsol, Alexandria via LeMat-Bulk).

```
data_Zr9ScO20
_chemical_formula_sum 'Zr9 Sc1 O20'
_symmetry_space_group_name_H-M 'P 1'
_symmetry_Int_Tables_number 1
_symmetry_space_group_name_Hall 'P 1'
_cell_length_a 6.2699
_cell_length_b 7.2314
_cell_length_c 8.0467
_cell_angle_alpha 77.15
_cell_angle_beta 75.15
_cell_angle_gamma 72.78
loop_
_atom_site_label
_atom_site_type_symbol
_atom_site_fract_x
_atom_site_fract_y
_atom_site_fract_z
_atom_site_occupancy
Zr1 Zr 0.6002 0.3996 0.7973 1
Zr2 Zr 0.9986 0.0012 0.9990 1
Zr3 Zr 0.9999 0.4988 0.9947 1
Zr4 Zr 0.5935 0.9046 0.7993 1
Zr5 Zr 0.8070 0.6958 0.4003 1
Zr6 Zr 0.2006 0.8003 0.5996 1
Zr7 Zr 0.3985 0.1008 0.2058 1
Zr8 Zr 0.8004 0.1998 0.4024 1
Zr9 Zr 0.4004 0.5988 0.2015 1
O1 O 0.9771 0.3165 0.8398 1
O2 O 0.7792 0.5214 0.2374 1
O3 O 0.6188 0.5797 0.9590 1
O4 O 0.5236 0.1834 0.6586 1
O5 O 0.0810 0.7197 0.1393 1
O6 O 0.3176 0.3796 0.0615 1
O7 O 0.8163 0.3878 0.5553 1
O8 O 0.7231 0.9778 0.2589 1
O9 O 0.2266 0.9728 0.7642 1
O10 O 0.9159 0.7831 0.8608 1
O11 O 0.1760 0.1176 0.4432 1
O12 O 0.5803 0.7197 0.6392 1
O13 O 0.4224 0.7812 0.3601 1
O14 O 0.2755 0.5238 0.7465 1
O15 O 0.4848 0.3158 0.3340 1
O16 O 0.0197 0.1804 0.1602 1
O17 O 0.3800 0.9195 0.0430 1
O18 O 0.8783 0.9180 0.5405 1
O19 O 0.6767 0.1205 0.9411 1
O20 O 0.1270 0.5813 0.4580 1
Sc1 Sc 0.2008 0.3006 0.5996 1
```

Summary:
Final energy, eV per atom: -9.82
Space-group type: P1

# Zr8Sc2O19

A geometry-optimized Zr8Sc2O19 structure (PBEsol, Alexandria via LeMat-Bulk).

```
data_Zr8Sc2O19
_chemical_formula_sum 'Zr8 Sc2 O19'
_symmetry_space_group_name_H-M 'P 1'
_symmetry_Int_Tables_number 1
_symmetry_space_group_name_Hall 'P 1'
_cell_length_a 3.5810
_cell_length_b 3.5820
_cell_length_c 25.3217
_cell_angle_alpha 90.00
_cell_angle_beta 90.00
_cell_angle_gamma 90.00
loop_
_atom_site_label
_atom_site_type_symbol
_atom_site_fract_x
_atom_site_fract_y
_atom_site_fract_z
_atom_site_occupancy
Zr1 Zr 0.5000 0.5000 0.6000 1
Zr2 Zr 0.0000 0.0000 0.4995 1
Zr3 Zr 0.5000 0.5000 0.0037 1
Zr4 Zr 0.0000 0.0000 0.9018 1
Zr5 Zr 0.5000 0.5000 0.8006 1
Zr6 Zr 0.0000 0.0000 0.2963 1
Zr7 Zr 0.0000 0.0000 0.7002 1
Zr8 Zr 0.5000 0.5000 0.3982 1
O1 O 0.5000 0.0000 0.2554 1
O2 O 0.0000 0.5000 0.4419 1
O3 O 0.0000 0.5000 0.3383 1
O4 O 0.0000 0.5000 0.7541 1
O5 O 0.0000 0.5000 0.6499 1
O6 O 0.5000 0.0000 0.7471 1
O7 O 0.5000 0.0000 0.4554 1
O8 O 0.5000 0.0000 0.6503 1
O9 O 0.5000 0.0000 0.5535 1
O10 O 0.5000 0.0000 0.9443 1
O11 O 0.0000 0.5000 0.5457 1
O12 O 0.5000 0.0000 0.3559 1
O13 O 0.5000 0.0000 0.8449 1
O14 O 0.0000 0.5000 0.0654 1
O15 O 0.0000 0.5000 0.9616 1
O16 O 0.5000 0.0000 0.0446 1
O17 O 0.0000 0.5000 0.2344 1
O18 O 0.0000 0.5000 0.8580 1
O19 O 0.5000 0.0000 0.1500 1
Sc1 Sc 0.5000 0.5000 0.2026 1
Sc2 Sc 0.0000 0.0000 0.0973 1
```

Summary:
Final energy, eV per atom: -9.84
Space-group type: Pmm2

# Zr3Sc4O12

A geometry-optimized Zr3Sc4O12 structure (PBEsol, Alexandria via LeMat-Bulk).

```
data_Zr3Sc4O12
_chemical_formula_sum 'Zr6 Sc8 O24'
_symmetry_space_group_name_H-M 'P 1'
_symmetry_Int_Tables_number 1
_symmetry_space_group_name_Hall 'P 1'
_cell_length_a 6.1368
_cell_length_b 6.1737
_cell_length_c 12.2006
_cell_angle_alpha 99.40
_cell_angle_beta 99.37
_cell_angle_gamma 99.76
loop_
_atom_site_label
_atom_site_type_symbol
_atom_site_fract_x
_atom_site_fract_y
_atom_site_fract_z
_atom_site_occupancy
O1 O 0.1772 0.4189 0.0361 1
O2 O 0.0592 0.6827 0.2012 1
O3 O 0.5749 0.1763 0.4604 1
O4 O 0.8228 0.5811 0.9639 1
O5 O 0.9067 0.0591 0.0878 1
O6 O 0.0933 0.9409 0.9122 1
O7 O 0.9408 0.3173 0.7988 1
O8 O 0.5796 0.4295 0.1595 1
O9 O 0.3254 0.0997 0.2220 1
O10 O 0.5842 0.1805 0.9625 1
O11 O 0.6746 0.9003 0.7780 1
O12 O 0.0845 0.9395 0.4119 1
O13 O 0.4158 0.8195 0.0375 1
O14 O 0.9364 0.3269 0.2874 1
O15 O 0.1785 0.4182 0.5361 1
O16 O 0.4230 0.5838 0.3411 1
O17 O 0.5770 0.4162 0.6589 1
O18 O 0.0636 0.6731 0.7126 1
O19 O 0.4251 0.8237 0.5396 1
O20 O 0.8215 0.5818 0.4639 1
O21 O 0.6801 0.9070 0.2801 1
O22 O 0.9155 0.0605 0.5881 1
O23 O 0.4204 0.5705 0.8405 1
O24 O 0.3199 0.0930 0.7199 1
Sc1 Sc 0.6064 0.3237 0.3194 1
Sc2 Sc 0.6780 0.8584 0.9449 1
Sc3 Sc 0.3220 0.1416 0.0551 1
Sc4 Sc 0.3918 0.6841 0.1787 1
Sc5 Sc 0.3936 0.6763 0.6806 1
Sc6 Sc 0.8626 0.3937 0.5937 1
Sc7 Sc 0.1374 0.6063 0.4063 1
Sc8 Sc 0.6082 0.3159 0.8213 1
Zr1 Zr 0.3141 0.1409 0.5571 1
Zr2 Zr 0.1392 0.6132 0.9053 1
Zr3 Zr 0.6859 0.8591 0.4429 1
Zr4 Zr 0.9937 0.9956 0.7513 1
Zr5 Zr 0.0063 0.0044 0.2487 1
Zr6 Zr 0.8608 0.3868 0.0947 1
```

Summary:
Final energy, eV per atom: -9.67
Space-group type: P-1

For reference, ΔE_f (raw) by record: -2801, -2977, -1464, -1153, -3528, -3377, -3440, -3528 meV/atom.
For reference, theoretical density by record: 4.47, 4.21, 4.47, 4.51, 4.86, 5.92, 5.74, 4.86 Mg/m³.